# PBE+U TcNiBiO2, relaxed
data_TcNiBiO2
_symmetry_space_group_name_H-M 'P 1'
_symmetry_Int_Tables_number 1
_symmetry_space_group_name_Hall 'P 1'
_cell_length_a 4.268
_cell_length_b 4.268
_cell_length_c 4.945
_cell_angle_alpha 90.00
_cell_angle_beta 90.00
_cell_angle_gamma 90.00
loop_
_atom_site_label
_atom_site_type_symbol
_atom_site_fract_x
_atom_site_fract_y
_atom_site_fract_z
Tc1 Tc 0.000 0.000 0.000
Ni1 Ni 0.500 0.500 0.000
Bi1 Bi 0.500 0.500 0.500
O1 O 0.000 0.500 0.500
O2 O 0.500 0.000 0.500
# volume = 90.1 Å³ per cell
# energy = -4.367 eV/atom
# magnetic moment = 4.4 μB per cell